No. 1
The following is a PBE calculation of a relaxed LaYBeNi crystal, from OQMD.

Raw total energy = -5.21 eV/atom

a b c (Å): 4.9391 4.9391 4.9391
angles (deg): 60.00 60.00 60.00
Sites, in units of the cell vectors:
Be1 0.7500 0.7500 0.7500
Y1 0.0000 0.0000 0.0000
La1 0.5000 0.5000 0.5000
Ni1 0.2500 0.2500 0.2500


No. 2
The following is a PBE calculation of a relaxed ScCoCuBi crystal, from OQMD.

Raw total energy = -5.38 eV/atom

a b c (Å): 4.5555 4.5555 4.5555
angles (deg): 60.00 60.00 60.00
Sites, in units of the cell vectors:
Sc1 0.7500 0.7500 0.7500
Cu1 0.5000 0.5000 0.5000
Bi1 0.2500 0.2500 0.2500
Co1 0.0000 0.0000 0.0000


No. 3
The following is a PBE calculation of a relaxed LaMgCuTe2S crystal, from OQMD.

Raw total energy = -4.37 eV/atom

a b c (Å): 7.0060 7.0060 11.1401
angles (deg): 90.00 90.00 146.05
Sites, in units of the cell vectors:
Te1 0.8380 0.1620 0.9104
La1 0.5000 0.5000 0.5000
Te2 0.8380 0.1620 0.5896
Te3 0.1620 0.8380 0.4104
Mg1 0.7760 0.2240 0.2500
S1 0.4166 0.5834 0.2500
La2 0.5000 0.5000 0.0000
Cu1 0.0158 0.9842 0.2500
Mg2 0.2240 0.7760 0.7500
Cu2 0.9842 0.0158 0.7500
S2 0.5834 0.4166 0.7500
Te4 0.1620 0.8380 0.0896


No. 4
The following is a PBE calculation of a relaxed In2PdBrCl3 crystal, from OQMD.

Raw total energy = -3.20 eV/atom

a b c (Å): 4.2418 7.2622 7.2622
angles (deg): 91.86 90.00 90.00
Sites, in units of the cell vectors:
In1 0.5000 0.5068 0.9906
Br1 0.0000 0.2418 0.2418
Cl1 0.0000 0.7663 0.7663
In2 0.5000 0.9906 0.5068
Pd1 0.0000 0.9984 0.9984
Cl2 0.0000 0.2214 0.7748
Cl3 0.0000 0.7748 0.2214


No. 5
The following is a PBE calculation of a relaxed LiBePd2 crystal, from OQMD.

Raw total energy = -4.55 eV/atom

a b c (Å): 2.8593 2.8593 5.9720
angles (deg): 90.00 90.00 90.00
Sites, in units of the cell vectors:
Pd1 0.5000 0.5000 0.2297
Li1 0.0000 0.0000 0.5000
Be1 0.0000 0.0000 0.0000
Pd2 0.5000 0.5000 0.7703


No. 6
The following is a PBE calculation of a relaxed NaFeBTe crystal, from OQMD.

Raw total energy = -3.94 eV/atom

a b c (Å): 4.5473 4.5473 4.5473
angles (deg): 60.00 60.00 60.00
Sites, in units of the cell vectors:
Te1 0.5000 0.5000 0.5000
Fe1 0.2500 0.2500 0.2500
B1 0.0000 0.0000 0.0000
Na1 0.7500 0.7500 0.7500


No. 7
The following is a PBE calculation of a relaxed ErSi2 crystal, from OQMD.

Raw total energy = -5.64 eV/atom

a b c (Å): 7.9659 7.9659 7.9659
angles (deg): 151.67 151.67 40.49
Sites, in units of the cell vectors:
Si1 0.5809 0.5809 0.0000
Er1 0.7500 0.2500 0.5000
Er2 0.0000 0.0000 0.0000
Si2 0.4191 0.4191 0.0000
Si3 0.3309 0.8309 0.5000
Si4 0.1691 0.6691 0.5000


No. 8
The following is a PBE calculation of a relaxed LaAgIr crystal, from OQMD.

Calculated formation energy = -0.185 eV/atom

a b c (Å): 4.7388 4.7388 4.7388
angles (deg): 60.00 60.00 60.00
Sites, in units of the cell vectors:
Ir1 0.0000 0.0000 0.0000
Ag1 0.2500 0.2500 0.2500
La1 0.7500 0.7500 0.7500


No. 9
The following is a PBE calculation of a relaxed NbAlTe crystal, from OQMD.

Raw total energy = -5.13 eV/atom

a b c (Å): 4.6200 4.6200 4.6200
angles (deg): 60.00 60.00 60.00
Sites, in units of the cell vectors:
Al1 0.2500 0.2500 0.2500
Nb1 0.7500 0.7500 0.7500
Te1 0.0000 0.0000 0.0000


No. 10
The following is a PBE calculation of a relaxed GdDyAsO crystal, from OQMD.

Raw total energy = -6.69 eV/atom

a b c (Å): 4.1899 7.6274 5.9535
angles (deg): 90.00 90.00 90.00
Sites, in units of the cell vectors:
As1 0.0000 0.1621 0.9295
O1 0.5000 0.6685 0.8760
O2 0.5000 0.3315 0.3760
Dy1 0.5000 0.3877 0.0099
Gd1 0.0000 0.7902 0.9385
Gd2 0.0000 0.2098 0.4386
Dy2 0.5000 0.6123 0.5099
As2 0.0000 0.8379 0.4295


No. 11
The following is a PBE calculation of a relaxed SmBNO crystal, from OQMD.

Raw total energy = -7.56 eV/atom

a b c (Å): 3.4928 4.9285 5.2830
angles (deg): 90.00 90.00 90.00
Sites, in units of the cell vectors:
N1 0.0000 0.7509 0.4999
B1 0.0000 0.5010 0.3516
N2 0.0000 0.2509 0.5001
Sm1 0.5000 0.0010 0.2356
Sm2 0.5000 0.5010 0.7644
O1 0.5000 0.0010 0.8016
O2 0.5000 0.5010 0.1984
B2 0.0000 0.0010 0.6484


No. 12
The following is a PBE calculation of a relaxed Zr5Os crystal, from OQMD.

Calculated formation energy = 0.076 eV/atom

a b c (Å): 5.2280 5.2280 5.2822
angles (deg): 90.00 90.00 60.00
Sites, in units of the cell vectors:
Zr1 0.3333 0.3333 0.0000
Zr2 0.3141 0.6859 0.5000
Os1 0.0000 0.0000 0.0000
Zr3 0.0000 0.3141 0.5000
Zr4 0.6667 0.6667 0.0000
Zr5 0.6859 0.0000 0.5000